1.
Computed, not measured: a relaxed TeMo2F crystal at the GGA+U level of DFT.

Cell: 4.974 4.974 4.974 Å, 60.00 60.00 60.00°
Atoms (fractional coordinates):
Te 0.000 0.000 0.000
Mo 0.250 0.250 0.250
Mo 0.750 0.750 0.750
F 0.500 0.500 0.500

Calculated values
* polymorph energy (0 for the lowest one): 0.105 eV per atom



2.
Computed, not measured: a relaxed TeMoF2 crystal at the GGA+U level of DFT.

Cell: 4.553 4.553 4.553 Å, 60.00 60.00 60.00°
Atoms (fractional coordinates):
Te 0.000 0.000 0.000
Mo 0.500 0.500 0.500
F 0.250 0.250 0.250
F 0.750 0.750 0.750

Calculated values
* polymorph energy (0 for the lowest one): 0.495 eV per atom



3.
Computed, not measured: a relaxed Te2MoF crystal at the GGA+U level of DFT.

Cell: 4.820 4.820 4.820 Å, 60.00 60.00 60.00°
Atoms (fractional coordinates):
Te 0.250 0.250 0.250
Te 0.750 0.750 0.750
Mo 0.000 0.000 0.000
F 0.500 0.500 0.500

Calculated values
* polymorph energy (0 for the lowest one): 0.043 eV per atom



4.
Computed, not measured: a relaxed Te2MoF crystal at the GGA+U level of DFT.

Cell: 7.181 7.181 7.181 Å, 125.33 125.33 80.99°
Atoms (fractional coordinates):
Te 0.122 0.625 0.997
Te 0.375 0.372 0.497
Te 0.628 0.125 0.003
Te 0.875 0.878 0.503
Mo 0.000 0.000 0.000
Mo 0.750 0.250 0.500
F 0.250 0.750 0.500
F 0.500 0.500 0.000

Calculated values
* polymorph energy (0 for the lowest one): 0.384 eV per atom



5.
Computed, not measured: a relaxed TeMoF2 crystal at the GGA+U level of DFT.

Cell: 8.644 8.644 8.644 Å, 151.93 151.93 40.12°
Atoms (fractional coordinates):
Te 0.000 0.000 0.000
Te 0.750 0.250 0.500
Mo 0.250 0.750 0.500
Mo 0.500 0.500 0.000
F 0.200 0.625 0.075
F 0.375 0.450 0.575
F 0.550 0.125 0.925
F 0.875 0.800 0.425

Calculated values
* polymorph energy (0 for the lowest one): 0.118 eV per atom



6.
Computed, not measured: a relaxed TeMoF2 crystal at the GGA+U level of DFT.

Cell: 10.159 10.159 10.159 Å, 18.20 18.20 18.20°
Atoms (fractional coordinates):
Te 0.000 0.000 0.000
Mo 0.500 0.500 0.500
F 0.126 0.126 0.126
F 0.874 0.874 0.874

Calculated values
* polymorph energy (0 for the lowest one): 0.000 eV per atom



7.
Computed, not measured: a relaxed Te2MoF crystal at the GGA+U level of DFT.

Cell: 10.128 10.128 10.128 Å, 18.68 18.68 18.68°
Atoms (fractional coordinates):
Te 0.096 0.096 0.096
Te 0.904 0.904 0.904
Mo 0.000 0.000 0.000
F 0.500 0.500 0.500

Calculated values
* polymorph energy (0 for the lowest one): 0.615 eV per atom



8.
Computed, not measured: a relaxed TeMo2F crystal at the GGA+U level of DFT.

Cell: 6.223 6.223 6.223 Å, 109.22 109.22 109.97°
Atoms (fractional coordinates):
Te 0.000 0.000 0.000
Te 0.750 0.250 0.500
Mo 0.178 0.625 0.053
Mo 0.375 0.428 0.553
Mo 0.572 0.125 0.947
Mo 0.875 0.822 0.447
F 0.250 0.750 0.500
F 0.500 0.500 0.000

Calculated values
* polymorph energy (0 for the lowest one): 0.000 eV per atom



9.
Computed, not measured: a relaxed ZnTeMo2F crystal at the GGA+U level of DFT.

Cell: 5.596 5.596 4.588 Å, 90.00 90.00 90.00°
Atoms (fractional coordinates):
Zn 0.000 0.000 0.000
Te 0.500 0.500 0.500
Mo 0.000 0.500 0.500
Mo 0.500 0.000 0.500
F 0.500 0.500 0.000



10.
Computed, not measured: a relaxed Zr2TeMoF crystal at the GGA+U level of DFT.

Cell: 5.491 5.491 4.266 Å, 90.00 90.00 90.00°
Atoms (fractional coordinates):
Zr 0.000 0.500 0.000
Zr 0.500 0.000 0.000
Te 0.000 0.000 0.000
Mo 0.500 0.500 0.500
F 0.000 0.000 0.500



11.
Computed, not measured: a relaxed ThMoF6 crystal at the GGA+U level of DFT.

Cell: 5.072 5.072 5.669 Å, 97.49 97.49 114.78°
Atoms (fractional coordinates):
Th 0.000 0.000 0.000
Mo 0.500 0.500 0.500
F 0.139 0.470 0.215
F 0.213 0.213 0.708
F 0.470 0.139 0.215
F 0.530 0.861 0.785
F 0.787 0.787 0.292
F 0.861 0.530 0.785



12.
Computed, not measured: a relaxed ThMo2F11 crystal at the GGA+U level of DFT.

Cell: 8.462 8.462 8.462 Å, 124.36 107.96 97.31°
Atoms (fractional coordinates):
Th 0.250 0.250 0.000
Th 0.750 0.750 0.000
Mo 0.180 0.645 0.825
Mo 0.320 0.145 0.465
Mo 0.680 0.855 0.535
Mo 0.820 0.355 0.175
F 0.000 0.500 0.500
F 0.047 0.948 0.271
F 0.066 0.367 0.165
F 0.177 0.448 0.901
F 0.202 0.901 0.835
F 0.214 0.360 0.574
F 0.286 0.860 0.146
F 0.298 0.133 0.699
F 0.323 0.224 0.271
F 0.434 0.599 0.301
F 0.453 0.724 0.901
F 0.500 0.000 0.500
F 0.547 0.276 0.099
F 0.566 0.401 0.699
F 0.677 0.776 0.729
F 0.702 0.867 0.301
F 0.714 0.140 0.854
F 0.786 0.640 0.426
F 0.798 0.099 0.165
F 0.823 0.552 0.099
F 0.934 0.633 0.835
F 0.953 0.052 0.729



13.
Computed, not measured: a relaxed TiMoF3 crystal at the GGA+U level of DFT.

Cell: 4.193 4.193 4.193 Å, 90.00 90.00 90.00°
Atoms (fractional coordinates):
Ti 0.000 0.000 0.000
Mo 0.500 0.500 0.500
F 0.000 0.000 0.500
F 0.000 0.500 0.000
F 0.500 0.000 0.000

Calculated values
* polymorph energy (0 for the lowest one): 0.000 eV per atom



14.
Computed, not measured: a relaxed TiMoF crystal at the GGA+U level of DFT.

Cell: 2.851 2.851 12.228 Å, 98.62 98.62 66.01°
Atoms (fractional coordinates):
Ti 0.146 0.146 0.226
Ti 0.854 0.854 0.774
Mo 0.289 0.289 0.592
Mo 0.711 0.711 0.408
F 0.246 0.246 0.880
F 0.754 0.754 0.120



15.
Computed, not measured: a relaxed Ti2MoF crystal at the GGA+U level of DFT.

Cell: 4.409 4.409 4.409 Å, 60.00 60.00 60.00°
Atoms (fractional coordinates):
Ti 0.250 0.250 0.250
Ti 0.750 0.750 0.750
Mo 0.000 0.000 0.000
F 0.500 0.500 0.500

Calculated values
* polymorph energy (0 for the lowest one): 0.408 eV per atom



16.
Computed, not measured: a relaxed TiMoF2 crystal at the GGA+U level of DFT.

Cell: 7.783 7.783 7.783 Å, 20.30 20.30 20.30°
Atoms (fractional coordinates):
Ti 0.000 0.000 0.000
Mo 0.500 0.500 0.500
F 0.399 0.399 0.399
F 0.601 0.601 0.601

Calculated values
* polymorph energy (0 for the lowest one): 0.000 eV per atom



17.
Computed, not measured: a relaxed Ti2MoF crystal at the GGA+U level of DFT.

Cell: 5.511 5.511 5.511 Å, 107.29 107.29 113.93°
Atoms (fractional coordinates):
Ti 0.039 0.625 0.914
Ti 0.375 0.289 0.414
Ti 0.711 0.125 0.086
Ti 0.875 0.961 0.586
Mo 0.250 0.750 0.500
Mo 0.500 0.500 0.000
F 0.000 0.000 0.000
F 0.750 0.250 0.500

Calculated values
* polymorph energy (0 for the lowest one): 0.000 eV per atom



18.
Computed, not measured: a relaxed TiMoF2 crystal at the GGA+U level of DFT.

Cell: 7.217 7.217 7.217 Å, 142.65 142.65 53.85°
Atoms (fractional coordinates):
Ti 0.000 0.000 0.000
Ti 0.750 0.250 0.500
Mo 0.250 0.750 0.500
Mo 0.500 0.500 0.000
F 0.375 0.227 0.352
F 0.773 0.125 0.148
F 0.875 0.023 0.648
F 0.977 0.625 0.852

Calculated values
* polymorph energy (0 for the lowest one): 0.015 eV per atom



19.
Computed, not measured: a relaxed TiMoF2 crystal at the GGA+U level of DFT.

Cell: 4.475 4.475 4.475 Å, 60.00 60.00 60.00°
Atoms (fractional coordinates):
Ti 0.000 0.000 0.000
Mo 0.500 0.500 0.500
F 0.250 0.250 0.250
F 0.750 0.750 0.750

Calculated values
* polymorph energy (0 for the lowest one): 0.608 eV per atom



20.
Computed, not measured: a relaxed TiMoF3 crystal at the GGA+U level of DFT.

Cell: 4.385 4.385 4.385 Å, 90.00 90.00 90.00°
Atoms (fractional coordinates):
Ti 0.000 0.000 0.000
Mo 0.500 0.500 0.500
F 0.000 0.500 0.500
F 0.500 0.000 0.500
F 0.500 0.500 0.000

Calculated values
* polymorph energy (0 for the lowest one): 0.830 eV per atom



21.
Computed, not measured: a relaxed TiMo2F crystal at the GGA+U level of DFT.

Cell: 5.788 5.788 5.788 Å, 98.47 98.47 134.85°
Atoms (fractional coordinates):
Ti 0.000 0.000 0.000
Ti 0.750 0.250 0.500
Mo 0.211 0.625 0.086
Mo 0.375 0.461 0.586
Mo 0.539 0.125 0.914
Mo 0.875 0.789 0.414
F 0.250 0.750 0.500
F 0.500 0.500 0.000

Calculated values
* polymorph energy (0 for the lowest one): 0.000 eV per atom



22.
Computed, not measured: a relaxed TiMo2F crystal at the GGA+U level of DFT.

Cell: 4.630 4.630 4.630 Å, 60.00 60.00 60.00°
Atoms (fractional coordinates):
Ti 0.000 0.000 0.000
Mo 0.250 0.250 0.250
Mo 0.750 0.750 0.750
F 0.500 0.500 0.500

Calculated values
* polymorph energy (0 for the lowest one): 0.193 eV per atom



23.
Computed, not measured: a relaxed TiMo3F crystal at the GGA+U level of DFT.

Cell: 4.963 4.963 4.963 Å, 90.00 90.00 90.00°
Atoms (fractional coordinates):
Ti 0.000 0.000 0.000
Mo 0.000 0.000 0.500
Mo 0.000 0.500 0.000
Mo 0.500 0.000 0.000
F 0.500 0.500 0.500

Calculated values
* polymorph energy (0 for the lowest one): 0.658 eV per atom



24.
Computed, not measured: a relaxed TiMo3F crystal at the GGA+U level of DFT.

Cell: 4.317 4.317 4.317 Å, 90.00 90.00 90.00°
Atoms (fractional coordinates):
Ti 0.000 0.000 0.000
Mo 0.000 0.500 0.500
Mo 0.500 0.000 0.500
Mo 0.500 0.500 0.000
F 0.500 0.500 0.500

Calculated values
* polymorph energy (0 for the lowest one): 0.000 eV per atom



25.
Computed, not measured: a relaxed TiMoF2 crystal at the GGA+U level of DFT.

Cell: 8.345 8.345 8.345 Å, 21.09 21.09 21.09°
Atoms (fractional coordinates):
Ti 0.000 0.000 0.000
Mo 0.500 0.500 0.500
F 0.077 0.077 0.077
F 0.923 0.923 0.923

Calculated values
* polymorph energy (0 for the lowest one): 0.123 eV per atom



26.
Computed, not measured: a relaxed Ti2VMoF crystal at the GGA+U level of DFT.

Cell: 4.194 4.194 4.357 Å, 90.00 90.00 90.00°
Atoms (fractional coordinates):
Ti 0.000 0.500 0.000
Ti 0.500 0.000 0.000
V 0.000 0.000 0.500
Mo 0.500 0.500 0.500
F 0.500 0.500 0.000



27.
Computed, not measured: a relaxed TiMo2WF crystal at the GGA+U level of DFT.

Cell: 5.209 5.209 4.972 Å, 90.00 90.00 90.00°
Atoms (fractional coordinates):
Ti 0.000 0.000 0.000
Mo 0.000 0.500 0.500
Mo 0.500 0.000 0.500
W 0.000 0.000 0.500
F 0.500 0.500 0.000



no.,density of states at the Fermi level (states/eV per cell),DFT total energy (eV/cell)
1,1.49,-18.74
2,2.86,-15.99
3,1.48,-16.61
4,1.84,-30.49
5,7.55,-35.00
6,1.93,-17.97
7,3.37,-14.32
8,0.96,-38.32
9,2.37,-17.40
10,3.25,-27.11
11,0.00,-50.84
12,0.81,-169.23
13,4.70,-29.62
14,3.86,-40.13
15,4.85,-23.84
16,3.03,-23.10
17,9.85,-50.94
18,4.28,-46.09
19,5.44,-20.67
20,12.96,-25.48
21,3.13,-42.31
22,10.98,-20.38
23,3.09,-22.36
24,4.07,-25.65
25,3.06,-22.61
26,6.38,-30.31
27,4.39,-23.06